## AlCu (PBE)

Data for an optimized crystal structure of AlCu.

## Properties
Magnetization   0.000 μB/atom
Formation enthalpy at 0 K   -0.152 eV/atom
Volume   81.6 Å³/cell
Symmetry   Cm

a b c (Å): 4.9284 4.9284 6.2152
angles (deg): 76.36 76.36 33.89
Last column: nearest neighbours and their distance in Å.
Fractional coordinates of all 6 atoms:
Cu 0.0463 0.0463 0.3911  6 Al 2.56-2.73, 4 Cu 2.64-2.77
Cu 0.7334 0.7334 0.0568  7 Al 2.55-2.66, 3 Cu 2.70-2.77
Cu 0.6613 0.6613 0.6625  7 Al 2.56-2.66, 3 Cu 2.64-2.70
Al 0.0236 0.0236 0.9895  6 Cu 2.56-2.66, 4 Al 2.75-2.86
Al 0.3780 0.3780 0.7333  7 Cu 2.57-2.73, 5 Al 2.66-2.87
Al 0.3242 0.3242 0.3336  7 Cu 2.55-2.66, 1 Al 2.66

## PdSe2I (PBE)

Data for an optimized crystal structure of PdSe2I.

## Properties
Magnetization   0.000 μB/atom
Energy above the most stable polymorph in this dataset   30 kJ/mol of formula units
Volume   248.1 Å³/cell
Symmetry   C2/c
Formation energy (no corrections)   -0.4 eV/f.u.

a b c (Å): 7.2378 8.5216 8.5216
angles (deg): 31.61 96.80 83.20
Last column: nearest neighbours and their distance in Å.
Fractional coordinates of all 8 atoms:
Se 0.1492 0.7022 0.6527  1 Se 2.32, 1 Pd 2.56
Se 0.8508 0.2978 0.3473  1 Se 2.32, 1 Pd 2.56
Se 0.6492 0.8473 0.7978  1 Se 2.32, 1 Pd 2.56
Se 0.3508 0.1527 0.2022  1 Se 2.32, 1 Pd 2.56
Pd 0.2500 0.0530 0.5530  4 Se 2.56-2.63
Pd 0.7500 0.9470 0.4470  4 Se 2.56-2.63
I 0.7500 0.3443 0.8443  2 Pd 2.87
I 0.2500 0.6557 0.1557  2 Pd 2.87

## LiHfSeO5 (PBE)

Data for an optimized crystal structure of LiHfSeO5.

## Properties
Magnetization   0.000 μB/atom
Volume   216.1 Å³/cell
Symmetry   C2/c
Formation energy (no corrections)   -14.8 eV/f.u.

a b c (Å): 5.7532 5.7532 7.8136
angles (deg): 105.90 105.90 108.76
Last column: nearest neighbours and their distance in Å.
Fractional coordinates of all 16 atoms:
O 0.9472 0.0528 0.7500  1 Li 1.96, 2 Hf 2.01
O 0.9380 0.3542 0.1108  1 Se 1.91, 1 Li 2.11
O 0.7808 0.5871 0.4172  1 Se 1.72
O 0.0620 0.6458 0.8892  1 Se 1.91, 1 Li 2.11
O 0.5871 0.7808 0.9172  1 Se 1.72
O 0.6458 0.0620 0.3892  1 Se 1.91, 1 Li 2.11
O 0.2192 0.4129 0.5828  1 Se 1.72
O 0.3542 0.9380 0.6108  1 Se 1.91, 1 Li 2.11
O 0.4129 0.2192 0.0828  1 Se 1.72
O 0.0528 0.9472 0.2500  1 Li 1.96, 2 Hf 2.01
Hf 0.0000 0.0000 0.0000  6 O 2.01-2.17
Hf 0.0000 0.0000 0.5000  6 O 2.01-2.17
Se 0.2841 0.7159 0.7500  4 O 1.72-1.91
Se 0.7159 0.2841 0.2500  4 O 1.72-1.91
Li 0.2627 0.7373 0.2500  3 O 1.96-2.11
Li 0.7373 0.2627 0.7500  3 O 1.96-2.11